The following is a DFT calculation (PBE+U) of crystalline Mn2IrF at its relaxed geometry.

Summary:
For the magnetization, the calculation gives 9.5 μB/f.u. For the final energy, the calculation gives -54.104 eV for the cell shown. The excess energy over the best structure of this formula in the dataset is 0 meV per atom.

Lattice parameters (Å, degrees): 6.3340 6.3340 5.4995 54.84 54.84 90.00
With the nearest neighbours (Å) after each atom.
Element x y z (fractional)
Ir 0.0000 0.0000 0.0000  4 Mn 2.63
Ir 0.7500 0.2500 0.5000  4 Mn 2.63
Mn 0.5684 0.1250 0.2500  2 F 2.16
Mn 0.1816 0.6250 0.2500  2 F 2.16
Mn 0.3750 0.4316 0.7500  2 F 2.16
Mn 0.8750 0.8184 0.7500  2 F 2.16
F 0.5000 0.5000 0.0000  4 Mn 2.16
F 0.2500 0.7500 0.5000  4 Mn 2.16